[1]
A geometry-optimized OsRuRh structure. Source: the Alexandria database, functional PBE.

* crystal system: orthorhombic
* offset from the most stable computed form: 14 meV per atom
* E_form: 0.070 eV/atom

abc: 2.711 3.831 8.163
angles: 90.00 90.00 90.00
Fractional positions:
Os  0.000  0.000  0.000
Os  0.500  0.500  0.500
Ru  0.000  0.000  0.342
Ru  0.500  0.500  0.842
Rh  0.000  0.000  0.670
Rh  0.500  0.500  0.170

[2]
A geometry-optimized Li2RePb structure. Source: the Alexandria database, functional PBE.

* crystal system: monoclinic
* E_form: 0.466 eV/atom

abc: 9.515 2.807 5.286
angles: 90.00 95.74 90.00
Fractional positions:
Li  0.000  0.000  0.000
Li  0.244  0.000  0.762
Li  0.500  0.500  0.000
Li  0.744  0.500  0.762
Re  0.497  0.000  0.522
Re  0.997  0.500  0.522
Pb  0.248  0.500  0.273
Pb  0.748  0.000  0.273

[3]
A geometry-optimized AgN2F2 structure. Source: the Alexandria database, functional PBE.

* crystal system: monoclinic
* offset from the most stable computed form: 0 meV per atom
* E_form (uncorrected): -0.6381 eV/atom

abc: 7.105 3.423 7.970
angles: 90.00 104.05 90.00
Fractional positions:
Ag  0.000  0.000  0.000
Ag  0.500  0.500  0.000
N  0.025  0.000  0.439
N  0.475  0.500  0.561
N  0.525  0.500  0.439
N  0.975  0.000  0.561
F  0.161  0.500  0.114
F  0.339  0.000  0.886
F  0.661  0.000  0.114
F  0.839  0.500  0.886

[4]
A geometry-optimized CaY2Re structure. Source: the Alexandria database, functional PBE.

* crystal system: trigonal
* offset from the most stable computed form: 232 meV per atom
* E_form: 0.372 eV/atom

abc: 3.564 3.564 31.856
angles: 90.00 90.00 120.00
Fractional positions:
Ca  0.000  0.000  0.000
Ca  0.333  0.667  0.667
Ca  0.667  0.333  0.333
Y  0.000  0.000  0.230
Y  0.000  0.000  0.770
Y  0.333  0.667  0.437
Y  0.333  0.667  0.896
Y  0.667  0.333  0.104
Y  0.667  0.333  0.563
Re  0.000  0.000  0.500
Re  0.333  0.667  0.167
Re  0.667  0.333  0.833